{"formula": "BeHgP2", "functional": "PBE", "state": "relaxed", "cell": [[4.049, 0.000, 0.000], [0.000, 3.136, 0.000], [-0.042, 0.000, 6.996]], "species": ["Be", "Hg", "P", "P"], "fractional_positions": [[0.000, 0.000, 0.000], [0.232, 0.500, 0.456], [0.504, 0.000, 0.080], [0.676, 0.500, 0.863]], "e_tot_ev_per_cell": -14.08, "polymorph_energy_mev_per_atom": 52, "e_form_ev_per_atom": 0.191}